LaPr2Au: relaxed, PBE-GGA.

Cell and atoms, written as POSCAR:
```
LaPr2Au
1.0
3.783 0.000 0.000
0.000 3.783 0.000
0.000 0.000 8.726
Pr Au La
2 1 1
direct
0.000 0.000 0.793
0.000 0.000 0.207
0.500 0.500 0.000
0.500 0.500 0.500
```

## Properties
* final energy: -4.796 eV/atom
* symmetry: P4/mmm (123)
* DOS(E_F): 6.4 states/eV/cell

***

CrHg2P: relaxed, PBE-GGA.

Cell and atoms, written as POSCAR:
```
CrHg2P
1.0
8.628 -0.248 -0.146
8.051 3.111 -0.146
8.051 1.382 2.791
P Hg Cr
1 2 1
direct
0.479 0.479 0.479
0.244 0.244 0.244
0.012 0.012 0.012
0.765 0.765 0.765
```

## Properties
* final energy: -3.772 eV/atom
* symmetry: R3m (160)
* DOS(E_F): 1.0 states/eV/cell

***

YGa3Cu: relaxed, PBE-GGA.

Cell and atoms, written as POSCAR:
```
YGa3Cu
1.0
6.108 -0.009 0.000
3.372 5.092 0.000
-4.740 -2.542 2.894
Ga Y Cu
3 1 1
direct
0.386 0.386 0.000
0.750 0.250 0.500
0.614 0.614 0.000
0.000 0.000 0.000
0.250 0.750 0.500
```

## Properties
* final energy: -4.394 eV/atom
* symmetry: I-4m2 (119)
* DOS(E_F): 1.5 states/eV/cell

***

GeSbS: relaxed, PBE-GGA.

Cell and atoms, written as POSCAR:
```
GeSbS
1.0
3.438 0.000 0.000
-1.719 2.978 0.000
0.000 0.000 6.797
Sb Ge S
1 1 1
direct
0.333 0.667 0.633
0.667 0.333 0.286
0.000 0.000 0.081
```

## Properties
* symmetry: P3m1 (156)
* E_form (uncorrected): 0.034 eV per atom
* DOS(E_F): 1.4 states/eV/cell